(1)
Computed, not measured: BeAs2SeO at its PBEsol-relaxed geometry at the meta-GGA SCAN level of DFT.

Unit cell a=4.3749 b=4.3749 c=4.2827 alpha=90.00 beta=90.00 gamma=90.00
Last column: nearest neighbours and their distance in Å.
Space group P4/mmm (No. 123)
Asymmetric unit:
Be  0.0000  0.0000  0.0000  2 Se 2.14, 4 As 2.19
As  0.0000  0.5000  0.0000  2 Be 2.19
Se  0.0000  0.0000  0.5000  2 Be 2.14
O  0.5000  0.5000  0.5000  8 As 3.06, 4 Se 3.09

Output
Magnetization = 1.2 μB/f.u.
Energy = -0.9848 Ry/atom



(2)
Computed, not measured: BeAsOs at its PBEsol-relaxed geometry at the meta-GGA SCAN level of DFT.

Unit cell a=5.6183 b=5.6183 c=5.6183 alpha=90.00 beta=90.00 gamma=90.00
Last column: nearest neighbours and their distance in Å.
Space group F-43m (No. 216)
Asymmetric unit:
Be  0.0000  0.0000  0.0000  4 Os 2.43
As  0.0000  0.0000  0.5000  4 Os 2.43
Os  0.2500  0.2500  0.2500  4 As 2.43, 4 Be 2.43

Output
Magnetization = 0.0 μB/f.u.
Distance to the lowest polymorph of the same formula = 192.4 meV per atom
Energy of formation = 0.156 eV/atom